No. 1
A plane-wave DFT calculation with PBE was carried out for NaCa3P after structural relaxation.

The structure in POSCAR format:
```
NaCa3P
1.0
-0.468 4.447 -1.751
-3.609 -2.007 2.452
7.340 7.413 16.866
P Ca Na
2 6 2
Direct
0.000 0.000 0.000
0.000 0.000 0.500
0.000 0.000 0.250
0.000 0.000 0.750
0.333 0.667 0.935
0.333 0.667 0.565
0.667 0.333 0.435
0.667 0.333 0.065
0.333 0.667 0.750
0.667 0.333 0.250
```

Properties
**Space group**: P6_3/mmc, No. 194
**E above lowest polymorph**: 466 meV per atom
**Uncorrected energy**: -2.57 eV/atom

---

No. 2
A plane-wave DFT calculation with PBE was carried out for NaCa3P after structural relaxation.

The structure in POSCAR format:
```
NaCa3P
1.0
4.570 -5.752 0.000
4.570 5.752 0.000
0.000 0.000 7.089
P Ca Na
2 6 2
Direct
0.190 0.810 0.250
0.810 0.190 0.750
0.506 0.090 0.250
0.910 0.494 0.250
0.090 0.506 0.750
0.494 0.910 0.750
0.000 0.000 0.000
0.000 0.000 0.500
0.431 0.569 0.250
0.569 0.431 0.750
```

Properties
**Space group**: Cmcm, No. 63
**E above lowest polymorph**: 247 meV per atom
**Uncorrected energy**: -2.79 eV/atom

---

No. 3
A plane-wave DFT calculation with PBE was carried out for Na2CaP after structural relaxation.

The structure in POSCAR format:
```
Na2CaP
1.0
4.264 0.000 0.000
0.000 4.264 0.000
2.132 2.132 11.440
P Ca Na
2 2 4
Direct
0.500 0.500 0.000
0.250 0.750 0.500
0.000 0.000 0.000
0.750 0.250 0.500
0.585 0.125 0.250
0.165 0.625 0.250
0.375 0.415 0.750
0.875 0.835 0.750
```

Properties
**Space group**: I-42d, No. 122
**Uncorrected energy**: -2.76 eV/atom

---

No. 4
A plane-wave DFT calculation with PBE was carried out for NaCa2P after structural relaxation.

The structure in POSCAR format:
```
NaCa2P
1.0
3.721 0.000 0.000
0.000 3.721 0.000
0.000 0.000 8.311
P Ca Na
1 2 1
Direct
0.500 0.500 0.000
0.000 0.000 0.822
0.000 0.000 0.178
0.500 0.500 0.500
```

Properties
**Space group**: P4/mmm, No. 123
**Uncorrected energy**: -3.20 eV/atom

---

No. 5
A plane-wave DFT calculation with PBE was carried out for NaCa3P after structural relaxation.

The structure in POSCAR format:
```
NaCa3P
1.0
3.099 -9.529 0.000
3.099 9.529 0.000
0.000 0.000 7.063
P Ca Na
2 6 2
Direct
0.448 0.552 0.250
0.552 0.448 0.750
0.088 0.419 0.250
0.581 0.912 0.250
0.419 0.088 0.750
0.912 0.581 0.750
0.000 0.000 0.000
0.000 0.000 0.500
0.163 0.837 0.250
0.837 0.163 0.750
```

Properties
**Space group**: Cmcm, No. 63
**E above lowest polymorph**: 722 meV per atom
**Uncorrected energy**: -2.31 eV/atom

---

No. 6
A plane-wave DFT calculation with PBE was carried out for NaCa3P after structural relaxation.

The structure in POSCAR format:
```
NaCa3P
1.0
-3.363 -2.517 1.775
2.166 -3.801 -1.288
4.563 -0.223 8.331
P Ca Na
1 3 1
Direct
0.500 0.500 0.609
0.000 0.000 0.707
0.500 0.000 0.420
0.000 0.500 0.420
0.000 0.000 0.106
```

Properties
**Space group**: P4mm, No. 99
**E above lowest polymorph**: 293 meV per atom
**Uncorrected energy**: -2.74 eV/atom

---

No. 7
A plane-wave DFT calculation with PBE was carried out for Na3CaP after structural relaxation.

The structure in POSCAR format:
```
Na3CaP
1.0
5.536 0.000 0.000
0.000 5.536 0.000
0.000 0.000 5.536
P Ca Na
1 1 3
Direct
0.000 0.000 0.000
0.500 0.500 0.500
0.000 0.500 0.000
0.000 0.000 0.500
0.500 0.000 0.000
```

Properties
**Space group**: Pm-3m, No. 221
**E above lowest polymorph**: 0 meV per atom
**Uncorrected energy**: -2.28 eV/atom

---

No. 8
A plane-wave DFT calculation with PBE was carried out for NaCa3P after structural relaxation.

The structure in POSCAR format:
```
NaCa3P
1.0
25.529 0.000 -1.315
0.000 7.037 0.000
-8.931 0.000 4.130
P Ca Na
4 12 4
Direct
0.091 0.372 0.534
0.909 0.628 0.466
0.409 0.872 0.966
0.591 0.128 0.034
0.201 0.070 0.631
0.799 0.930 0.369
0.299 0.570 0.869
0.701 0.430 0.131
0.327 0.304 0.286
0.673 0.696 0.714
0.173 0.804 0.214
0.827 0.196 0.786
0.558 0.760 0.086
0.442 0.240 0.914
0.942 0.260 0.414
0.058 0.740 0.586
0.432 0.841 0.470
0.568 0.159 0.530
0.068 0.341 0.030
0.932 0.659 0.970
```

Properties
**Space group**: P2_1/c, No. 14
**E above lowest polymorph**: 55 meV per atom
**Uncorrected energy**: -2.98 eV/atom

---

Calculated energy of formation from the pure elements (eV per formula unit), listed in the same order as above: -0.12, -1.21, -0.97, -2.08, 1.16, -0.99, -0.04, -2.18
Calculated calculated density (g/cm3), listed in the same order as above: 1.46, 1.55, 1.87, 1.94, 1.39, 1.46, 1.37, 1.76
Calculated total magnetization (Bohr magnetons per cell), listed in the same order as above: 0.0, 0.0, 0.0, 0.0, 0.0, 0.0, 0.0, 0.0